First-principles (PBE-GGA) data for a geometry-optimized NdSeS structure, as listed in the Alexandria database.

The structure in CIF format:
```
data_NdSeS
_cell_length_a 3.8669
_cell_length_b 3.8669
_cell_length_c 9.3225
_cell_angle_alpha 90.00
_cell_angle_beta 90.00
_cell_angle_gamma 90.00
_space_group_name_H-M_alt 'I 4 m m'
_space_group_IT_number 107
_space_group_name_Hall 'I 4 -2'
loop_
_atom_site_label
_atom_site_type_symbol
_atom_site_fract_x
_atom_site_fract_y
_atom_site_fract_z
_atom_site_occupancy
Nd1 Nd 0.0000 0.0000 0.0000 1
Se1 Se 0.0000 0.0000 0.6546 1
S1 S 0.0000 0.0000 0.3669 1
```

Computed properties:
Its uncorrected energy is -5.48 eV/atom. The energy above the most stable polymorph in this dataset is 0.978 eV/f.u. For the formation energy (no corrections), the calculation gives -1358 meV/atom.

***

First-principles (PBE-GGA) data for a geometry-optimized Nd3SeS3 structure, as listed in the Alexandria database.

The structure in CIF format:
```
data_Nd3SeS3
_cell_length_a 9.2755
_cell_length_b 9.2755
_cell_length_c 7.3708
_cell_angle_alpha 90.00
_cell_angle_beta 90.00
_cell_angle_gamma 120.00
_space_group_name_H-M_alt 'R 3 m'
_space_group_IT_number 160
_space_group_name_Hall 'R 3 -2"'
loop_
_atom_site_label
_atom_site_type_symbol
_atom_site_fract_x
_atom_site_fract_y
_atom_site_fract_z
_atom_site_occupancy
Nd1 Nd 0.1759 0.3519 0.0000 1
Se1 Se 0.0000 0.0000 0.1226 1
S1 S 0.1885 0.3770 0.3886 1
```

Computed properties:
Its uncorrected energy is -6.04 eV/atom. For the formation energy (no corrections), the calculation gives -1729 meV/atom.

***

First-principles (PBE-GGA) data for a geometry-optimized Nd4SeS5 structure, as listed in the Alexandria database.

The structure in CIF format:
```
data_Nd4SeS5
_cell_length_a 4.2488
_cell_length_b 7.8588
_cell_length_c 16.5831
_cell_angle_alpha 90.00
_cell_angle_beta 90.00
_cell_angle_gamma 90.00
_space_group_name_H-M_alt 'I m m m'
_space_group_IT_number 71
_space_group_name_Hall '-I 2 2'
loop_
_atom_site_label
_atom_site_type_symbol
_atom_site_fract_x
_atom_site_fract_y
_atom_site_fract_z
_atom_site_occupancy
Nd1 Nd 0.0000 0.0000 0.2122 1
Nd2 Nd 0.0000 0.2385 0.5000 1
Se1 Se 0.0000 0.0000 0.0000 1
S1 S 0.0000 0.2682 0.3328 1
S2 S 0.0000 0.5000 0.0000 1
```

Computed properties:
Its uncorrected energy is -6.29 eV/atom. For the formation energy (no corrections), the calculation gives -1966 meV/atom.

***

First-principles (PBE-GGA) data for a geometry-optimized Nd8SeS6 structure, as listed in the Alexandria database.

The structure in CIF format:
```
data_Nd8SeS6
_cell_length_a 10.4388
_cell_length_b 10.4388
_cell_length_c 4.1672
_cell_angle_alpha 90.00
_cell_angle_beta 90.00
_cell_angle_gamma 120.00
_space_group_name_H-M_alt 'P -3'
_space_group_IT_number 147
loop_
_space_group_symop_operation_xyz
'x,y,z'
'-x,-y,-z'
'-y,x-y,z'
'y,-x+y,-z'
'-x+y,-x,z'
'x-y,x,-z'
loop_
_atom_site_label
_atom_site_type_symbol
_atom_site_fract_x
_atom_site_fract_y
_atom_site_fract_z
_atom_site_occupancy
Nd1 Nd 0.0349 0.3349 0.2407 1
Nd2 Nd 0.3333 0.6667 0.7536 1
Se1 Se 0.0000 0.0000 0.0000 1
S1 S 0.1338 0.6519 0.2547 1
```

Computed properties:
Its uncorrected energy is -6.03 eV/atom. For the formation energy (no corrections), the calculation gives -1604 meV/atom.

***

First-principles (PBE-GGA) data for a geometry-optimized Nd6Se5S structure, as listed in the Alexandria database.

The structure in CIF format:
```
data_Nd6Se5S
_cell_length_a 7.2818
_cell_length_b 12.6354
_cell_length_c 7.2898
_cell_angle_alpha 90.00
_cell_angle_beta 109.43
_cell_angle_gamma 90.00
_space_group_name_H-M_alt 'C 1 2/m 1'
_space_group_IT_number 12
loop_
_space_group_symop_operation_xyz
'x,y,z'
'-x,-y,-z'
'-x,y,-z'
'x,-y,z'
'x+1/2,y+1/2,z'
'-x+1/2,-y+1/2,-z'
'-x+1/2,y+1/2,-z'
'x+1/2,-y+1/2,z'
loop_
_atom_site_label
_atom_site_type_symbol
_atom_site_fract_x
_atom_site_fract_y
_atom_site_fract_z
_atom_site_occupancy
Nd1 Nd 0.2372 0.0000 0.2613 1
Nd2 Nd 0.2369 0.1579 0.7361 1
Se1 Se 0.0000 0.1719 0.0000 1
Se2 Se 0.0000 0.3337 0.5000 1
Se3 Se 0.0000 0.5000 0.0000 1
S1 S 0.0000 0.0000 0.5000 1
```

Computed properties:
Its uncorrected energy is -6.05 eV/atom. For the formation energy (no corrections), the calculation gives -1874 meV/atom.

***

First-principles (PBE-GGA) data for a geometry-optimized Nd3Se2S2 structure, as listed in the Alexandria database.

The structure in CIF format:
```
data_Nd3Se2S2
_cell_length_a 13.9657
_cell_length_b 4.2057
_cell_length_c 7.2830
_cell_angle_alpha 90.00
_cell_angle_beta 104.31
_cell_angle_gamma 90.00
_space_group_name_H-M_alt 'C 1 2/m 1'
_space_group_IT_number 12
loop_
_space_group_symop_operation_xyz
'x,y,z'
'-x,-y,-z'
'-x,y,-z'
'x,-y,z'
'x+1/2,y+1/2,z'
'-x+1/2,-y+1/2,-z'
'-x+1/2,y+1/2,-z'
'x+1/2,-y+1/2,z'
loop_
_atom_site_label
_atom_site_type_symbol
_atom_site_fract_x
_atom_site_fract_y
_atom_site_fract_z
_atom_site_occupancy
Nd1 Nd 0.0000 0.0000 0.0000 1
Nd2 Nd 0.2412 0.0000 0.7364 1
Se1 Se 0.1196 0.5000 0.8679 1
S1 S 0.1412 0.0000 0.3523 1
```

Computed properties:
Its uncorrected energy is -6.17 eV/atom. The energy above the most stable polymorph in this dataset is 0.021 eV/f.u. For the formation energy (no corrections), the calculation gives -1957 meV/atom.

***

Q: Number 6 is which compound?
A: Nd3Se2S2

***

Q: Which formula does entry 1 have?
A: NdSeS

***

Q: Among the records above, which one has the lowest formation energy (no corrections)?
A: Nd4SeS5

***

Q: Which of these has the highest formation energy (no corrections)?
A: NdSeS